First-principles (GGA-PBE) data for MgCr2Cu after structural relaxation, as listed in the Alexandria database.

Calculated values
- Energy of formation: 442 meV per atom

CIF file:
```
data_MgCr2Cu
_chemical_formula_sum 'Mg1 Cr2 Cu1'
_space_group_name_H-M_alt 'P 1 2/m 1'
_space_group_IT_number 10
_cell_length_a 2.541
_cell_length_b 4.375
_cell_length_c 4.925
_cell_angle_alpha 90.00
_cell_angle_beta 101.10
_cell_angle_gamma 90.00
loop_
_space_group_symop_operation_xyz
'x,y,z'
'-x,-y,-z'
'-x,y,-z'
'x,-y,z'
loop_
_atom_site_label
_atom_site_type_symbol
_atom_site_fract_x
_atom_site_fract_y
_atom_site_fract_z
_atom_site_occupancy
Mg1 Mg 0.000 0.000 0.000 1
Cr1 Cr 0.475 0.500 0.713 1
Cu1 Cu 0.000 0.000 0.500 1
```



First-principles (GGA-PBE) data for Pm6Nd3Ho2Th after structural relaxation, as listed in the Alexandria database.

Calculated values
- Energy of formation: 27 meV per atom

CIF file:
```
data_Pm6Nd3Ho2Th
_chemical_formula_sum 'Pm12 Nd6 Ho4 Th2'
_space_group_name_H-M_alt 'C 1 2/m 1'
_space_group_IT_number 12
_cell_length_a 6.288
_cell_length_b 10.872
_cell_length_c 12.090
_cell_angle_alpha 90.00
_cell_angle_beta 99.98
_cell_angle_gamma 90.00
loop_
_space_group_symop_operation_xyz
'x,y,z'
'-x,-y,-z'
'-x,y,-z'
'x,-y,z'
'x+1/2,y+1/2,z'
'-x+1/2,-y+1/2,-z'
'-x+1/2,y+1/2,-z'
'x+1/2,-y+1/2,z'
loop_
_atom_site_label
_atom_site_type_symbol
_atom_site_fract_x
_atom_site_fract_y
_atom_site_fract_z
_atom_site_occupancy
Pm1 Pm 0.247 0.165 0.245 1
Pm2 Pm 0.248 0.000 0.755 1
Nd1 Nd 0.000 0.167 0.500 1
Nd2 Nd 0.000 0.500 0.500 1
Ho1 Ho 0.000 0.333 0.000 1
Th1 Th 0.000 0.000 0.000 1
```



First-principles (GGA-PBE) data for SrRe2Au after structural relaxation, as listed in the Alexandria database.

Calculated values
- Energy of formation: 1087 meV per atom
- Excess energy over the best structure of this formula in the dataset: 18.26 kcal/mol of atoms

CIF file:
```
data_SrRe2Au
_chemical_formula_sum 'Sr3 Re6 Au3'
_space_group_name_H-M_alt 'R -3 m'
_space_group_IT_number 166
_space_group_name_Hall '-R 3 2"'
_cell_length_a 2.8824
_cell_length_b 2.8824
_cell_length_c 30.7638
_cell_angle_alpha 90.00
_cell_angle_beta 90.00
_cell_angle_gamma 120.00
loop_
_atom_site_label
_atom_site_type_symbol
_atom_site_fract_x
_atom_site_fract_y
_atom_site_fract_z
_atom_site_occupancy
Sr1 Sr 0.0000 0.0000 0.0000 1
Re1 Re 0.0000 0.0000 0.2418 1
Au1 Au 0.0000 0.0000 0.5000 1
```



First-principles (GGA-PBE) data for Dy3NpAg3Te8 after structural relaxation, as listed in the Alexandria database.

Calculated values
- Energy relative to the elements, uncorrected: -0.774 eV/atom

CIF file:
```
data_Dy3NpAg3Te8
_chemical_formula_sum 'Dy6 Np2 Ag6 Te16'
_space_group_name_H-M_alt 'C 1 2/m 1'
_space_group_IT_number 12
_cell_length_a 14.839
_cell_length_b 8.801
_cell_length_c 8.651
_cell_angle_alpha 90.00
_cell_angle_beta 124.02
_cell_angle_gamma 90.00
loop_
_space_group_symop_operation_xyz
'x,y,z'
'-x,-y,-z'
'-x,y,-z'
'x,-y,z'
'x+1/2,y+1/2,z'
'-x+1/2,-y+1/2,-z'
'-x+1/2,y+1/2,-z'
'x+1/2,-y+1/2,z'
loop_
_atom_site_label
_atom_site_type_symbol
_atom_site_fract_x
_atom_site_fract_y
_atom_site_fract_z
_atom_site_occupancy
Dy1 Dy 0.000 0.000 0.000 1
Dy2 Dy 0.250 0.250 0.500 1
Np1 Np 0.000 0.500 0.000 1
Ag1 Ag 0.000 0.500 0.500 1
Ag2 Ag 0.250 0.250 0.000 1
Te1 Te 0.001 0.250 0.750 1
Te2 Te 0.248 0.500 0.751 1
Te3 Te 0.249 0.000 0.749 1
```



First-principles (GGA-PBE) data for Tm3URu4 after structural relaxation, as listed in the Alexandria database.

Calculated values
- Energy of formation: -434 meV per atom
- Excess energy over the best structure of this formula in the dataset: 0.00 kcal/mol of atoms

CIF file:
```
data_Tm3URu4
_chemical_formula_sum 'Tm6 U2 Ru8'
_space_group_name_H-M_alt 'I m -3 m'
_space_group_IT_number 229
_space_group_name_Hall '-I 4 2 3'
_cell_length_a 6.708
_cell_length_b 6.708
_cell_length_c 6.708
_cell_angle_alpha 90.00
_cell_angle_beta 90.00
_cell_angle_gamma 90.00
loop_
_atom_site_label
_atom_site_type_symbol
_atom_site_fract_x
_atom_site_fract_y
_atom_site_fract_z
_atom_site_occupancy
Tm1 Tm 0.000 0.000 0.500 1
U1 U 0.000 0.000 0.000 1
Ru1 Ru 0.250 0.250 0.250 1
```



First-principles (GGA-PBE) data for Tb7Tm3Tl after structural relaxation, as listed in the Alexandria database.

Calculated values
- Energy of formation: 150 meV per atom

CIF file:
```
data_Tb7Tm3Tl
_chemical_formula_sum 'Tb7 Tm3 Tl1'
_space_group_name_H-M_alt 'P 3 m 1'
_space_group_IT_number 156
_cell_length_a 6.9516
_cell_length_b 6.9516
_cell_length_c 8.4742
_cell_angle_alpha 90.00
_cell_angle_beta 90.00
_cell_angle_gamma 120.00
loop_
_space_group_symop_operation_xyz
'x,y,z'
'-y,x-y,z'
'-x+y,-x,z'
'-y,-x,z'
'-x+y,y,z'
'x,x-y,z'
loop_
_atom_site_label
_atom_site_type_symbol
_atom_site_fract_x
_atom_site_fract_y
_atom_site_fract_z
_atom_site_occupancy
Tb1 Tb 0.0000 0.0000 0.0000 1
Tb2 Tb 0.1634 0.3268 0.6627 1
Tb3 Tb 0.5014 0.0029 0.9909 1
Tm1 Tm 0.3310 0.1655 0.3272 1
Tl1 Tl 0.6667 0.3333 0.6556 1
```